Rb3Sb3Pt2: optimized geometry, PBE-GGA.

Lattice parameters (Å, degrees): 4.749 7.029 17.047 90.00 90.00 109.74
Positions (direct):
Rb1 0.960 0.919 0.392
Rb2 0.040 0.081 0.892
Rb3 0.960 0.919 0.108
Rb4 0.040 0.081 0.608
Rb5 0.629 0.258 0.250
Rb6 0.371 0.742 0.750
Sb1 0.690 0.380 0.452
Sb2 0.310 0.620 0.952
Sb3 0.690 0.380 0.048
Sb4 0.310 0.620 0.548
Sb5 0.327 0.654 0.250
Sb6 0.673 0.346 0.750
Pt1 0.744 0.489 0.896
Pt2 0.256 0.511 0.396
Pt3 0.744 0.489 0.604
Pt4 0.256 0.511 0.104

Results
**Spin magnetization**: 0.0 μB per cell
**E_form (uncorrected)**: -0.435 eV per atom

Sc2WBr: optimized geometry, PBE-GGA.

Lattice parameters (Å, degrees): 3.421 3.421 8.661 80.24 80.24 56.33
Positions (direct):
Br1 0.750 0.750 0.750
Sc1 0.015 0.015 0.011
Sc2 0.485 0.485 0.489
W1 0.250 0.250 0.250

Results
**Spin magnetization**: 0.0 μB per cell
**Energy above the lowest structure with this stoichiometry**: 81 meV/atom
**E_form (uncorrected)**: -0.189 eV per atom

MnCdAu3: optimized geometry, PBE-GGA.

Lattice parameters (Å, degrees): 4.866 7.134 5.726 90.84 90.00 109.94
Each line ends with the local moment (μB).
Positions (direct):
Mn1 0.823 0.647 0.991  3.94
Mn2 0.177 0.353 0.009  3.94
Cd1 0.604 0.209 0.287  -0.02
Cd2 0.396 0.791 0.713  -0.02
Au1 0.811 0.622 0.490  0.02
Au2 0.362 0.725 0.200  0.05
Au3 0.004 0.008 0.750  0.03
Au4 0.189 0.378 0.510  0.02
Au5 0.996 0.992 0.250  0.03
Au6 0.638 0.275 0.800  0.05

Results
**Spin magnetization**: 8.4 μB per cell
**Energy above the lowest structure with this stoichiometry**: 5 meV/atom
**Energy relative to the elements**: -0.0450 eV per atom

HfZr2Re: optimized geometry, PBE-GGA.

Lattice parameters (Å, degrees): 7.769 7.769 6.213 51.30 51.30 90.00
Positions (direct):
Re1 0.000 0.000 0.000
Re2 0.750 0.250 0.500
Hf1 0.500 0.500 0.000
Hf2 0.250 0.750 0.500
Zr1 0.667 0.125 0.250
Zr2 0.083 0.625 0.250
Zr3 0.375 0.333 0.750
Zr4 0.875 0.917 0.750

Results
**Spin magnetization**: 0.0 μB per cell
**Energy above the lowest structure with this stoichiometry**: 480 meV/atom
**Energy relative to the elements**: 0.3953 eV per atom

K9Au3BrO2: optimized geometry, PBE-GGA.

Lattice parameters (Å, degrees): 7.659 7.659 10.599 90.00 90.00 120.00
Positions (direct):
K1 0.828 0.172 0.720
K2 0.828 0.656 0.720
K3 0.344 0.172 0.720
K4 0.656 0.828 0.280
K5 0.172 0.344 0.280
K6 0.172 0.828 0.280
K7 0.500 0.000 0.000
K8 0.000 0.500 0.000
K9 0.500 0.500 0.000
Au1 0.333 0.667 0.730
Au2 0.000 0.000 0.000
Au3 0.667 0.333 0.270
Br1 0.000 0.000 0.500
O1 0.333 0.667 0.154
O2 0.667 0.333 0.846

Results
**Spin magnetization**: 0.0 μB per cell
**E_form (uncorrected)**: -0.754 eV per atom

Mg2BiH2: optimized geometry, PBE-GGA.

Lattice parameters (Å, degrees): 3.536 3.536 6.709 74.72 74.72 90.00
Positions (direct):
H1 0.750 0.250 0.500
H2 0.250 0.750 0.500
Mg1 0.336 0.336 0.329
Mg2 0.664 0.664 0.671
Bi1 0.000 0.000 0.000

Results
**Spin magnetization**: 0.0 μB per cell
**Energy above the lowest structure with this stoichiometry**: 0 meV/atom

Number 1: volume 33.5 A^3/atom. Number 2: volume 20.7 A^3/atom. Number 3: volume 18.7 A^3/atom. Number 4: volume 21.9 A^3/atom. Number 5: volume 35.9 A^3/atom. Number 6: volume 15.6 A^3/atom.